Below is a relaxed CoNiRh2 crystal, with properties calculated at the PBEsol level.

Unit cell a=2.609 b=4.397 c=4.397 alpha=107.28 beta=90.00 gamma=90.00
Atoms (fractional coordinates):
Ni 0.500 0.500 0.500
Rh 0.000 0.500 0.000
Rh 0.000 0.000 0.500
Co 0.500 0.000 0.000

Summary:
Energy above the lowest structure with this stoichiometry in eV/atom: 0.0148
Total energy in eV per atom: -7.468
Energy of formation in eV per atom: 0.075

Below is a relaxed FeOsPt2 crystal, with properties calculated at the PBEsol level.

Unit cell a=2.685 b=4.370 c=4.751 alpha=90.00 beta=90.00 gamma=90.00
Atoms (fractional coordinates):
Fe 0.500 0.000 0.533
Os 0.500 0.500 0.214
Pt 0.000 0.000 0.046
Pt 0.000 0.500 0.706

Summary:
Energy above the lowest structure with this stoichiometry in eV/atom: 0.0000
Total energy in eV per atom: -8.759
Energy of formation in eV per atom: 0.017

Below is a relaxed LiIn2S2 crystal, with properties calculated at the PBEsol level.

Unit cell a=4.060 b=4.060 c=7.527 alpha=105.65 beta=105.65 gamma=90.00
Atoms (fractional coordinates):
S 0.422 0.422 0.845
S 0.578 0.578 0.155
Li 0.000 0.000 0.000
In 0.250 0.750 0.500
In 0.750 0.250 0.500

Summary:
Total energy in eV per atom: -3.581

Below is a relaxed MgCrPt4 crystal, with properties calculated at the PBEsol level.

Unit cell a=5.209 b=5.209 c=5.209 alpha=60.00 beta=60.00 gamma=60.00
Atoms (fractional coordinates):
Cr 0.750 0.750 0.750
Mg 0.000 0.000 0.000
Pt 0.375 0.375 0.375
Pt 0.375 0.375 0.875
Pt 0.875 0.375 0.375
Pt 0.375 0.875 0.375

Summary:
Total energy in eV per atom: -6.793
Energy of formation in eV per atom: -0.158

Below is a relaxed Ba2PbF2 crystal, with properties calculated at the PBEsol level.

Unit cell a=5.164 b=5.164 c=6.826 alpha=112.22 beta=112.22 gamma=90.00
Atoms (fractional coordinates):
Pb 0.000 0.000 0.000
Ba 0.250 0.750 0.500
Ba 0.750 0.250 0.500
F 0.306 0.306 0.613
F 0.694 0.694 0.387

Summary:
Total energy in eV per atom: -4.469

Below is a relaxed LiFe2Cl crystal, with properties calculated at the PBEsol level.

Unit cell a=3.076 b=3.076 c=6.378 alpha=90.00 beta=90.00 gamma=90.00
Atoms (fractional coordinates):
Cl 0.500 0.500 0.635
Fe 0.000 0.000 0.091
Fe 0.500 0.500 0.252
Li 0.000 0.000 0.522

Summary:
Energy above the lowest structure with this stoichiometry in eV/atom: 0.0385
Total energy in eV per atom: -5.568

Below is a relaxed Cd2OsSe crystal, with properties calculated at the PBEsol level.

Unit cell a=3.947 b=3.947 c=5.293 alpha=111.89 beta=111.89 gamma=90.00
Atoms (fractional coordinates):
Cd 0.750 0.250 0.500
Cd 0.250 0.750 0.500
Os 0.500 0.500 0.000
Se 0.000 0.000 0.000

Summary:
Total energy in eV per atom: -3.976

Below is a relaxed Te2PbSeI crystal, with properties calculated at the PBEsol level.

Unit cell a=5.513 b=5.513 c=5.424 alpha=90.00 beta=90.00 gamma=90.00
Atoms (fractional coordinates):
Pb 0.500 0.500 0.500
I 0.000 0.000 0.500
Te 0.000 0.500 0.000
Te 0.500 0.000 0.000
Se 0.000 0.000 0.000

Summary:
Energy above the lowest structure with this stoichiometry in eV/atom: 0.0000
Total energy in eV per atom: -3.137

Below is a relaxed Tl2CuSi crystal, with properties calculated at the PBEsol level.

Unit cell a=5.055 b=4.802 c=5.055 alpha=121.76 beta=90.00 gamma=121.76
Atoms (fractional coordinates):
Cu 0.500 0.000 0.500
Si 0.000 0.000 0.000
Tl 0.750 0.500 0.250
Tl 0.250 0.500 0.750

Summary:
Energy above the lowest structure with this stoichiometry in eV/atom: 0.2712
Total energy in eV per atom: -3.319

Below is a relaxed Ba2Mg crystal, with properties calculated at the PBEsol level.

Unit cell a=6.052 b=7.868 c=11.281 alpha=90.00 beta=90.00 gamma=90.00
Atoms (fractional coordinates):
Ba 0.750 0.960 0.793
Ba 0.750 0.822 0.433
Ba 0.250 0.678 0.933
Ba 0.250 0.540 0.293
Ba 0.750 0.460 0.707
Ba 0.750 0.322 0.067
Ba 0.250 0.178 0.567
Ba 0.250 0.040 0.207
Mg 0.750 0.797 0.106
Mg 0.250 0.703 0.606
Mg 0.750 0.297 0.394
Mg 0.250 0.203 0.894

Summary:
Total energy in eV per atom: -2.026
Energy of formation in eV per atom: -0.021

Below is a relaxed Ca5BC4Cl3 crystal, with properties calculated at the PBEsol level.

Unit cell a=3.815 b=7.157 c=18.513 alpha=90.00 beta=90.00 gamma=105.46
Atoms (fractional coordinates):
Ca 0.158 0.315 0.250
Ca 0.359 0.718 0.936
Ca 0.053 0.107 0.860
Ca 0.359 0.718 0.564
Ca 0.053 0.107 0.640
Ca 0.641 0.282 0.436
Ca 0.947 0.893 0.140
Ca 0.641 0.282 0.064
Ca 0.842 0.685 0.750
Ca 0.947 0.893 0.360
B 0.465 0.931 0.750
B 0.535 0.069 0.250
C 0.042 0.083 0.486
C 0.042 0.083 0.014
C 0.958 0.917 0.986
C 0.958 0.917 0.514
C 0.448 0.895 0.827
C 0.448 0.895 0.673
C 0.552 0.105 0.327
C 0.552 0.105 0.173
Cl 0.290 0.579 0.414
Cl 0.290 0.579 0.086
Cl 0.191 0.383 0.750
Cl 0.710 0.421 0.914
Cl 0.809 0.617 0.250
Cl 0.710 0.421 0.586

Summary:
Total energy in eV per atom: -5.720

Below is a relaxed LiTi2S2 crystal, with properties calculated at the PBEsol level.

Unit cell a=3.167 b=6.595 c=6.595 alpha=90.00 beta=90.00 gamma=90.00
Atoms (fractional coordinates):
S 0.000 0.350 0.850
S 0.000 0.850 0.650
S 0.000 0.650 0.150
S 0.000 0.150 0.350
Li 0.000 0.000 0.000
Li 0.000 0.500 0.500
Ti 0.500 0.146 0.646
Ti 0.500 0.646 0.854
Ti 0.500 0.854 0.354
Ti 0.500 0.354 0.146

Summary:
Total energy in eV per atom: -6.625

Below is a relaxed LaCuRh crystal, with properties calculated at the PBEsol level.

Unit cell a=4.556 b=4.556 c=4.556 alpha=60.00 beta=60.00 gamma=60.00
Atoms (fractional coordinates):
Cu 0.500 0.500 0.500
La 0.250 0.250 0.250
Rh 0.000 0.000 0.000

Summary:
Energy above the lowest structure with this stoichiometry in eV/atom: 0.7616
Total energy in eV per atom: -5.532
Energy of formation in eV per atom: 0.408

Below is a relaxed BaScO3 crystal, with properties calculated at the PBEsol level.

Unit cell a=4.161 b=4.161 c=4.161 alpha=90.00 beta=90.00 gamma=90.00
Atoms (fractional coordinates):
Sc 0.000 0.000 0.000
Ba 0.500 0.500 0.500
O 0.000 0.500 0.000
O 0.000 0.000 0.500
O 0.500 0.000 0.000

Summary:
Total energy in eV per atom: -7.722

Below is a relaxed Cd2Cu10Sb4S13 crystal, with properties calculated at the PBEsol level.

Unit cell a=8.978 b=8.978 c=8.978 alpha=107.03 beta=110.71 gamma=110.71
Atoms (fractional coordinates):
Cd 0.000 0.763 0.763
Cd 0.000 0.237 0.237
Cu 0.734 0.500 0.234
Cu 0.266 0.766 0.500
Cu 0.500 0.750 0.250
Cu 0.734 0.234 0.500
Cu 0.266 0.500 0.766
Cu 0.500 0.250 0.750
Cu 0.221 0.000 0.221
Cu 0.221 0.221 0.000
Cu 0.779 0.000 0.779
Cu 0.779 0.779 0.000
Sb 0.551 0.015 0.015
Sb 0.449 0.464 0.464
Sb 0.000 0.536 0.985
Sb 0.000 0.985 0.536
S 0.000 0.000 0.000
S 0.262 0.745 0.745
S 0.471 0.990 0.245
S 0.471 0.245 0.990
S 0.738 0.483 0.483
S 0.529 0.774 0.519
S 0.529 0.519 0.774
S 0.000 0.517 0.255
S 0.745 0.226 0.755
S 0.255 0.481 0.010
S 0.000 0.255 0.517
S 0.255 0.010 0.481
S 0.745 0.755 0.226

Summary:
Total energy in eV per atom: -4.433

Below is a relaxed Ca2CdH24Cl6O12 crystal, with properties calculated at the PBEsol level.

Unit cell a=8.845 b=9.885 c=11.664 alpha=90.00 beta=105.16 gamma=90.00
Atoms (fractional coordinates):
Ca 0.895 0.452 0.146
Ca 0.605 0.952 0.354
Ca 0.105 0.548 0.854
Ca 0.395 0.048 0.646
Cd 0.500 0.500 0.500
Cd 0.000 0.000 0.000
H 0.134 0.654 0.278
H 0.366 0.154 0.222
H 0.866 0.346 0.722
H 0.634 0.846 0.778
H 0.098 0.695 0.141
H 0.402 0.195 0.359
H 0.902 0.305 0.859
H 0.598 0.805 0.641
H 0.845 0.491 0.402
H 0.655 0.991 0.098
H 0.155 0.509 0.598
H 0.345 0.009 0.902
H 0.005 0.562 0.400
H 0.495 0.062 0.100
H 0.995 0.438 0.600
H 0.505 0.938 0.900
H 0.587 0.559 0.155
H 0.913 0.059 0.345
H 0.413 0.441 0.845
H 0.087 0.941 0.655
H 0.695 0.685 0.156
H 0.805 0.185 0.344
H 0.305 0.315 0.844
H 0.195 0.815 0.656
H 0.148 0.308 0.343
H 0.352 0.808 0.157
H 0.852 0.692 0.657
H 0.648 0.192 0.843
H 0.062 0.200 0.249
H 0.438 0.700 0.251
H 0.938 0.800 0.751
H 0.562 0.300 0.749
H 0.622 0.344 0.240
H 0.878 0.844 0.260
H 0.378 0.656 0.760
H 0.122 0.156 0.740
H 0.672 0.215 0.178
H 0.828 0.715 0.322
H 0.328 0.785 0.822
H 0.172 0.285 0.678
H 0.774 0.537 0.881
H 0.726 0.037 0.619
H 0.226 0.463 0.119
H 0.274 0.963 0.381
H 0.828 0.662 0.960
H 0.672 0.162 0.540
H 0.172 0.338 0.040
H 0.328 0.838 0.460
Cl 0.442 0.487 0.266
Cl 0.058 0.987 0.234
Cl 0.558 0.513 0.734
Cl 0.942 0.013 0.766
Cl 0.761 0.365 0.526
Cl 0.739 0.865 0.974
Cl 0.239 0.635 0.474
Cl 0.261 0.135 0.026
Cl 0.335 0.282 0.497
Cl 0.165 0.782 0.003
Cl 0.665 0.718 0.503
Cl 0.835 0.218 0.997
O 0.059 0.641 0.200
O 0.441 0.141 0.300
O 0.941 0.359 0.800
O 0.559 0.859 0.700
O 0.897 0.545 0.352
O 0.603 0.045 0.148
O 0.103 0.455 0.648
O 0.397 0.955 0.852
O 0.668 0.595 0.119
O 0.832 0.095 0.381
O 0.332 0.405 0.881
O 0.168 0.905 0.619
O 0.070 0.299 0.265
O 0.430 0.799 0.235
O 0.930 0.701 0.735
O 0.570 0.201 0.765
O 0.712 0.303 0.217
O 0.788 0.803 0.283
O 0.288 0.697 0.783
O 0.212 0.197 0.717
O 0.859 0.568 0.949
O 0.641 0.068 0.551
O 0.141 0.432 0.051
O 0.359 0.932 0.449

Summary:
Total energy in eV per atom: -4.784

Below is a relaxed KMgAs crystal, with properties calculated at the PBEsol level.

Unit cell a=4.526 b=4.526 c=7.737 alpha=90.00 beta=90.00 gamma=90.00
Atoms (fractional coordinates):
K 0.500 0.000 0.643
K 0.000 0.500 0.357
Mg 0.000 0.000 0.000
Mg 0.500 0.500 0.000
As 0.500 0.000 0.194
As 0.000 0.500 0.806

Summary:
Total energy in eV per atom: -3.335
Energy of formation in eV per atom: -0.682

Below is a relaxed CrAg4Mo crystal, with properties calculated at the PBEsol level.

Unit cell a=5.247 b=5.247 c=5.247 alpha=60.00 beta=60.00 gamma=60.00
Atoms (fractional coordinates):
Ag 0.375 0.375 0.375
Ag 0.375 0.375 0.875
Ag 0.875 0.375 0.375
Ag 0.375 0.875 0.375
Cr 0.750 0.750 0.750
Mo 0.000 0.000 0.000

Summary:
Total energy in eV per atom: -5.149
Energy of formation in eV per atom: 0.727

Below is a relaxed Rb2CoCl4 crystal, with properties calculated at the PBEsol level.

Unit cell a=7.055 b=9.210 c=12.553 alpha=90.00 beta=90.00 gamma=90.00
Atoms (fractional coordinates):
Rb 0.750 0.130 0.417
Rb 0.250 0.870 0.583
Rb 0.750 0.630 0.083
Rb 0.250 0.370 0.917
Rb 0.750 0.482 0.674
Rb 0.250 0.518 0.326
Rb 0.750 0.982 0.826
Rb 0.250 0.018 0.174
Co 0.750 0.728 0.425
Co 0.250 0.272 0.575
Co 0.750 0.228 0.075
Co 0.250 0.772 0.925
Cl 0.504 0.177 0.651
Cl 0.004 0.823 0.349
Cl 0.996 0.677 0.849
Cl 0.496 0.323 0.151
Cl 0.496 0.823 0.349
Cl 0.996 0.177 0.651
Cl 0.004 0.323 0.151
Cl 0.504 0.677 0.849
Cl 0.750 0.816 0.590
Cl 0.250 0.184 0.410
Cl 0.750 0.316 0.910
Cl 0.250 0.684 0.090
Cl 0.250 0.011 0.910
Cl 0.750 0.989 0.090
Cl 0.250 0.511 0.590
Cl 0.750 0.489 0.410

Summary:
Total energy in eV per atom: -3.902